The following is a DFT calculation (PBE+U) of Zr2WNF after structural relaxation.

Structure (POSCAR):
```
Zr2WNF
1.0
-1.870 0.379 4.967
-3.637 0.076 -1.375
-0.232 -5.307 0.318
Zr F N W
2 1 1 1
direct
0.000 0.000 0.500 Zr
0.500 0.000 0.000 Zr
0.500 0.500 0.500 F
0.000 0.500 0.000 N
0.000 0.000 0.000 W
```

Results
**Crystal system**: tetragonal
**D(E_F)**: 1.0176 states/eV/atom
**VASP energy**: -31.4 eV for the cell shown